VASP calculation (PBE) on a geometry-optimized NbHRh3 structure.

Output
Calculated total energy: -6.035 eV per atom
DOS(E_F): 1.21 states/eV/atom

a b c (Å): 4.683 4.683 9.444
angles (deg): 75.65 75.65 90.00
Last column: magnetic moment on the atom in μB.
Sites, in units of the cell vectors:
Rh (0.124, 0.879, 0.752)  0.01
Nb (0.000, 0.000, 0.000)  0.59
H (0.638, 0.138, 0.724)  0.00
Rh (0.121, 0.876, 0.248)  0.00
Nb (0.250, 0.750, 0.500)  0.07
Rh (0.631, 0.876, 0.248)  0.00
H (0.862, 0.362, 0.276)  0.00
Rh (0.348, 0.348, 0.304)  0.11
Rh (0.652, 0.652, 0.696)  0.07
Rh (0.124, 0.369, 0.752)  0.01